Record 1
Below is a relaxed structure of KNa2As2, with properties calculated at the PBE-GGA level.

```
KNa2As2
1.0
-2.729 1.750 2.005
-3.348 -0.453 -4.161
-3.243 -11.761 5.849
K Na As
2 4 4
Cartesian
-5.510 -7.553 4.527
-3.810 -2.911 -0.833
-3.019 -0.312 1.597
-6.100 -4.681 1.218
-3.220 -5.783 2.476
-6.301 -10.152 2.096
-3.870 -2.874 2.674
-5.036 -11.160 4.696
-4.284 0.695 -1.002
-5.450 -7.591 1.019
```

## Properties
E above lowest polymorph   49 meV/atom
Energy of formation   -0.322 eV per atom

=====

Record 2
Below is a relaxed structure of K2NaAs, with properties calculated at the PBE-GGA level.

```
K2NaAs
1.0
-4.397 -2.411 -0.229
2.247 -4.239 1.478
-3.103 -0.648 11.382
K Na As
4 2 2
Cartesian
-4.164 -6.388 9.659
-3.330 -2.246 2.883
0.166 -3.065 3.745
-3.178 -2.895 8.976
-1.075 -3.325 0.625
-0.966 -4.105 6.742
0.000 0.000 0.000
-4.288 -3.192 5.889
```

## Properties
Energy of formation   -0.004 eV per atom

=====

Record 3
Below is a relaxed structure of KNa2As2, with properties calculated at the PBE-GGA level.

```
KNa2As2
1.0
8.163 0.000 0.000
0.000 8.163 0.000
0.000 0.000 4.308
Na As K
4 4 2
Cartesian
6.856 2.775 2.154
2.775 1.307 2.154
1.307 5.388 2.154
5.388 6.856 2.154
7.296 4.949 0.000
4.949 0.868 0.000
3.214 7.296 0.000
0.868 3.214 0.000
4.082 4.082 0.000
0.000 0.000 0.000
```

## Properties
E above lowest polymorph   65 meV/atom
Energy of formation   -0.306 eV per atom

=====

Record 4
Below is a relaxed structure of KNaAs2, with properties calculated at the PBE-GGA level.

```
KNaAs2
1.0
-3.153 3.960 0.293
-5.468 -4.223 -1.758
-2.016 -2.518 12.325
As Na K
8 4 4
Cartesian
-8.559 -2.633 9.274
-8.998 -2.792 6.701
-6.611 -1.113 9.701
-1.639 0.010 4.159
-5.221 -2.771 3.207
-5.416 -0.010 7.653
-4.026 -1.669 1.159
-2.078 -0.149 1.586
-6.229 -4.116 10.522
-7.909 -1.736 4.149
-4.408 1.334 0.338
-2.728 -1.046 6.711
-3.263 -1.725 10.134
-5.647 -3.400 7.115
-7.374 -1.056 0.727
-4.990 0.618 3.745
```

## Properties
E above lowest polymorph   34 meV/atom
Energy of formation   -0.343 eV per atom

=====

Record 5
Below is a relaxed structure of KNa2NiAs, with properties calculated at the PBE-GGA level.

```
KNa2NiAs
1.0
-0.562 -2.197 -4.991
-3.358 -3.813 2.056
-3.496 2.660 -0.777
K Na Ni As
1 2 1 1
Cartesian
-3.708 -1.675 -1.856
-1.679 -1.907 1.028
-0.281 -1.098 -2.495
0.000 0.000 0.000
-1.748 1.330 -0.389
```

## Properties
Energy of formation   -0.122 eV per atom

=====

Record 6
Below is a relaxed structure of KNaAsO4, with properties calculated at the PBE-GGA level.

```
KNaAsO4
1.0
-3.906 3.784 2.491
-3.770 -0.890 -4.558
2.011 -4.753 3.190
O Na As K
4 1 1 1
Cartesian
0.344 -2.656 2.670
-3.609 -0.720 -1.840
-3.031 -2.206 0.501
-5.034 1.864 0.915
-3.838 1.447 -1.034
-2.798 -2.098 -1.201
0.000 0.000 0.000
```

## Properties
Final energy   -5.208 eV per atom